i:
This record from Alexandria via LeMat-Bulk describes a relaxed MgBOF2 crystal. The functional is GGA-PBE.

CIF file:
```
data_MgBOF2
_chemical_formula_sum 'Mg1 B1 O1 F2'
_space_group_name_H-M_alt 'P 4/m m m'
_space_group_IT_number 123
_space_group_name_Hall '-P 4 2'
_cell_length_a 3.7218
_cell_length_b 3.7218
_cell_length_c 4.2709
_cell_angle_alpha 90.00
_cell_angle_beta 90.00
_cell_angle_gamma 90.00
loop_
_atom_site_label
_atom_site_type_symbol
_atom_site_fract_x
_atom_site_fract_y
_atom_site_fract_z
Mg1 Mg 0.0000 0.0000 0.0000
B1 B 0.5000 0.5000 0.5000
O1 O 0.0000 0.0000 0.5000
F1 F 0.0000 0.5000 0.0000
```

Output
- Density: 2.50 Mg/m³

***

ii:
This record from Alexandria via LeMat-Bulk describes a relaxed MgBOF2 crystal. The functional is GGA-PBE.

CIF file:
```
data_MgBOF2
_chemical_formula_sum 'Mg1 B1 O1 F2'
_space_group_name_H-M_alt 'P 4/m m m'
_space_group_IT_number 123
_space_group_name_Hall '-P 4 2'
_cell_length_a 4.3783
_cell_length_b 4.3783
_cell_length_c 2.6791
_cell_angle_alpha 90.00
_cell_angle_beta 90.00
_cell_angle_gamma 90.00
loop_
_atom_site_label
_atom_site_type_symbol
_atom_site_fract_x
_atom_site_fract_y
_atom_site_fract_z
Mg1 Mg 0.0000 0.0000 0.0000
B1 B 0.5000 0.5000 0.5000
O1 O 0.5000 0.5000 0.0000
F1 F 0.0000 0.5000 0.5000
```

Output
- Density: 2.88 Mg/m³

***

Q: What are the energies relative to the best structure? A: i 69.6; ii 0.0, in kJ/mol of atoms.